Entry 1:
9
Lattice="2.925 0.000 0.000 -1.462 2.533 0.000 0.000 0.000 32.498" Properties=species:S:1:pos:R:3 comment="Tl2Pt7 | OQMD | GGA-PBE | optimized geometry" final_energy_ev_per_atom=-5.063 spacegroup="No. 164" crystal_system=trigonal pbc="T T T"
Pt 0.000 0.000 0.000
Pt 0.000 0.000 6.571
Pt 1.462 0.844 2.168
Pt 1.462 0.844 28.150
Pt 0.000 0.000 25.927
Pt 0.000 1.689 30.330
Pt 0.000 1.689 4.348
Tl 1.462 0.844 9.082
Tl 0.000 1.689 23.416

---

Entry 2:
6
Lattice="4.219 2.436 6.889 -4.219 2.436 6.889 0.000 -4.871 6.889" Properties=species:S:1:pos:R:3 comment="TlPt2 | OQMD | GGA-PBE | optimized geometry" relative_energy_mev_per_atom=2090 spacegroup="No. 227" crystal_system=cubic pbc="T T T"
Pt 0.000 -2.436 11.195
Pt 0.000 0.000 7.750
Pt 2.109 1.218 11.195
Pt -2.109 1.218 11.195
Tl 0.000 0.000 10.333
Tl 0.000 0.000 5.167

---

Entry 3:
6
Lattice="0.000 4.217 4.217 4.217 0.000 4.217 4.217 4.217 0.000" Properties=species:S:1:pos:R:3 comment="Tl2Pt | OQMD | GGA-PBE | optimized geometry" final_energy_ev_per_atom=-2.849 spacegroup="No. 227" crystal_system=cubic pbc="T T T"
Tl 3.163 5.272 3.163
Tl 5.272 5.272 5.272
Tl 5.272 3.163 3.163
Tl 3.163 3.163 5.272
Pt 0.000 0.000 0.000
Pt 2.109 2.109 2.109

---

Entry 4:
6
Lattice="-2.893 0.312 7.987 4.437 4.116 5.970 -2.925 7.322 3.178" Properties=species:S:1:pos:R:3 comment="Tl2Pt | OQMD | GGA-PBE | optimized geometry" final_energy_ev_per_atom=-3.305 spacegroup="No. 227" crystal_system=cubic pbc="T T T"
Tl -1.965 4.563 10.419
Tl -1.981 8.067 8.015
Tl 1.700 6.464 9.411
Tl -0.518 4.406 6.426
Pt -0.691 5.875 8.568
Pt -0.345 2.938 4.284

---

Entry 5:
8
Lattice="-1.269 2.076 5.255 0.416 -5.337 2.209 5.635 0.862 1.020" Properties=species:S:1:pos:R:3 comment="Tl3Pt | OQMD | GGA-PBE | optimized geometry" relative_energy_mev_per_atom=161 spacegroup="No. 223" crystal_system=cubic pbc="T T T"
Tl 1.866 1.988 4.452
Tl 2.500 0.950 1.824
Tl -0.530 -0.296 3.180
Tl -0.322 -2.965 4.284
Tl 4.435 -2.022 1.869
Tl 1.617 -2.453 1.359
Pt 0.000 0.000 0.000
Pt 2.391 -1.200 4.242

---

Entry 6:
16
Lattice="6.718 0.000 0.000 0.000 10.109 0.000 0.000 0.000 6.434" Properties=species:S:1:pos:R:3 comment="Tl3Pt | OQMD | GGA-PBE | optimized geometry" relative_energy_mev_per_atom=0 spacegroup="No. 62" crystal_system=orthorhombic pbc="T T T"
Pt 0.000 5.054 3.217
Pt 3.359 5.054 0.000
Pt 0.000 0.000 3.217
Pt 3.359 0.000 0.000
Tl 4.279 4.075 2.419
Tl 5.797 6.033 5.636
Tl 5.744 7.582 2.318
Tl 0.920 4.075 0.799
Tl 4.333 2.527 5.535
Tl 2.438 6.033 4.016
Tl 2.385 7.582 0.899
Tl 2.438 9.130 4.016
Tl 5.797 9.130 5.636
Tl 4.279 0.979 2.419
Tl 0.920 0.979 0.799
Tl 0.974 2.527 4.116

---

Entry 7:
8
Lattice="4.631 0.000 0.000 -2.316 4.011 0.000 0.000 0.000 8.951" Properties=species:S:1:pos:R:3 comment="YTmTl2Pt4 | OQMD | GGA-PBE | optimized geometry" final_energy_ev_per_atom=-5.731 spacegroup="No. 187" crystal_system=hexagonal pbc="T T T"
Pt 0.000 0.000 3.077
Pt 2.316 1.337 7.579
Pt 0.000 0.000 5.874
Pt 2.316 1.337 1.373
Tm 0.000 0.000 0.000
Tl 0.000 2.674 2.229
Tl 0.000 2.674 6.722
Y 2.316 1.337 4.476

---

Entry 8:
4
Lattice="2.737 -2.408 2.887 2.403 2.211 3.311 -1.197 -0.496 4.466" Properties=species:S:1:pos:R:3 comment="TlZn2Pt | OQMD | GGA-PBE | optimized geometry" final_energy_ev_per_atom=-2.669 spacegroup="No. 216" crystal_system=cubic pbc="T T T"
Zn 0.000 0.000 0.000
Zn 2.957 -0.520 7.998
Pt 0.986 -0.173 2.666
Tl 1.971 -0.347 5.332

---

Entry 9:
2
Lattice="1.201 0.004 3.991 2.449 2.853 1.799 -1.193 2.750 2.896" Properties=species:S:1:pos:R:3 comment="TmPt | OQMD | GGA-PBE | optimized geometry" spacegroup="No. 166" crystal_system=trigonal formation_enthalpy_0k_ev_per_fu=-2.226 pbc="T T T"
Pt 0.000 0.000 0.000
Tm 1.228 2.804 4.343

---

Entry 10:
2
Lattice="3.864 0.000 0.000 -1.932 3.346 0.000 0.000 0.000 3.545" Properties=species:S:1:pos:R:3 comment="TmPt | OQMD | GGA-PBE | optimized geometry" spacegroup="No. 187" crystal_system=hexagonal formation_enthalpy_0k_ev_per_fu=-2.129 pbc="T T T"
Tm 0.000 2.231 0.886
Pt 1.932 1.115 2.659

---

Entry 11:
2
Lattice="-2.324 3.048 2.184 -0.107 4.160 -1.465 -3.706 1.625 -1.757" Properties=species:S:1:pos:R:3 comment="TmPt | OQMD | GGA-PBE | optimized geometry" spacegroup="No. 216" crystal_system=cubic formation_enthalpy_0k_ev_per_fu=-1.039 pbc="T T T"
Pt 0.000 0.000 0.000
Tm -1.534 2.208 -0.259

---

Entry 12:
6
Lattice="0.000 3.809 3.809 3.809 0.000 3.809 3.809 3.809 0.000" Properties=species:S:1:pos:R:3 comment="TmPt2 | OQMD | GGA-PBE | optimized geometry" spacegroup="No. 227" crystal_system=cubic formation_enthalpy_0k_ev_per_fu=-3.329 pbc="T T T"
Pt 4.762 2.857 2.857
Pt 2.857 2.857 4.762
Pt 2.857 4.762 2.857
Pt 4.762 4.762 4.762
Tm 1.905 1.905 1.905
Tm 0.000 0.000 0.000

---

Entry 13:
6
Lattice="0.000 4.082 4.082 4.082 0.000 4.082 4.082 4.082 0.000" Properties=species:S:1:pos:R:3 comment="Tm2Pt | OQMD | GGA-PBE | optimized geometry" spacegroup="No. 227" crystal_system=cubic formation_enthalpy_0k_ev_per_fu=0.773 pbc="T T T"
Pt 0.000 0.000 0.000
Pt 2.041 2.041 2.041
Tm 5.102 3.061 3.061
Tm 5.102 5.102 5.102
Tm 3.061 3.061 5.102
Tm 3.061 5.102 3.061

---

Entry 14:
2
Lattice="0.000 2.833 2.833 2.833 0.000 2.833 2.833 2.833 0.000" Properties=species:S:1:pos:R:3 comment="TmPt | OQMD | GGA-PBE | optimized geometry" spacegroup="No. 225" crystal_system=cubic formation_enthalpy_0k_ev_per_fu=-2.289 pbc="T T T"
Pt 0.000 0.000 0.000
Tm 2.833 2.833 2.833

---

Entry 15:
12
Lattice="-3.914 1.936 5.510 -3.274 -3.150 -1.219 3.923 -5.967 4.883" Properties=species:S:1:pos:R:3 comment="Tm2Pt | OQMD | GGA-PBE | optimized geometry" spacegroup="No. 62" crystal_system=orthorhombic formation_enthalpy_0k_ev_per_fu=-2.994 pbc="T T T"
Tm -3.795 -2.383 2.736
Tm -1.207 -4.310 0.767
Tm -3.860 0.405 4.784
Tm -0.550 -2.621 3.714
Tm -2.058 -2.871 8.408
Tm 0.530 -4.798 6.438
Tm 0.596 -7.586 4.390
Tm -2.714 -4.560 5.461
Pt -1.807 -6.323 7.580
Pt -2.207 -1.727 5.853
Pt -1.458 -0.858 1.595
Pt -1.058 -5.454 3.321

---

Entry 16:
16
Lattice="-0.918 -5.411 -4.257 0.532 -5.826 7.289 -6.332 0.436 0.811" Properties=species:S:1:pos:R:3 comment="Tm3Pt | OQMD | GGA-PBE | optimized geometry" spacegroup="No. 62" crystal_system=orthorhombic formation_enthalpy_0k_ev_per_fu=-2.972 pbc="T T T"
Tm -2.880 -9.488 1.615
Tm -4.107 -6.898 6.058
Tm -3.838 -1.312 2.228
Tm -5.896 -3.907 0.304
Tm -0.822 -6.893 3.539
Tm -4.310 -4.678 3.280
Tm -2.408 -6.122 0.562
Tm -5.431 -9.544 4.040
Tm -1.084 -3.476 2.580
Tm -5.634 -7.324 1.263
Tm -2.611 -3.902 -2.215
Tm -1.287 -1.256 -0.197
Pt -3.111 -3.380 0.522
Pt -5.750 -4.535 5.783
Pt -3.607 -7.420 3.321
Pt -0.968 -6.265 -1.940

---

Entry 17:
3
Lattice="0.000 3.382 3.382 3.382 0.000 3.382 3.382 3.382 0.000" Properties=species:S:1:pos:R:3 comment="TmUPt | OQMD | GGA-PBE | optimized geometry" relative_energy_mev_per_atom=0 spacegroup="No. 216" crystal_system=cubic formation_enthalpy_0k_ev_per_fu=-0.749 pbc="T T T"
Tm 1.691 1.691 1.691
U 5.073 5.073 5.073
Pt 0.000 0.000 0.000

---

Entry 18:
3
Lattice="-3.651 -2.172 1.379 -4.050 1.455 -1.197 -2.442 -2.340 -2.918" Properties=species:S:1:pos:R:3 comment="TmPtW | OQMD | GGA-PBE | optimized geometry" relative_energy_mev_per_atom=0 spacegroup="No. 216" crystal_system=cubic formation_enthalpy_0k_ev_per_fu=1.478 pbc="T T T"
Tm -7.608 -2.293 -2.052
Pt -2.536 -0.764 -0.684
W 0.000 0.000 0.000

---

Entry 19:
3
Lattice="-2.057 -2.114 -3.477 -4.215 1.220 -1.238 -0.672 2.206 -3.934" Properties=species:S:1:pos:R:3 comment="TmPtW | OQMD | GGA-PBE | optimized geometry" relative_energy_mev_per_atom=476 spacegroup="No. 216" crystal_system=cubic formation_enthalpy_0k_ev_per_fu=2.907 pbc="T T T"
Pt -1.736 0.328 -2.162
W -5.208 0.984 -6.487
Tm 0.000 0.000 0.000

---

Entry 20:
3
Lattice="0.000 3.343 3.343 3.343 0.000 3.343 3.343 3.343 0.000" Properties=species:S:1:pos:R:3 comment="YTmPt | OQMD | GGA-PBE | optimized geometry" relative_energy_mev_per_atom=0 spacegroup="No. 216" crystal_system=cubic formation_enthalpy_0k_ev_per_fu=-0.345 pbc="T T T"
Pt 1.672 1.672 1.672
Tm 0.000 0.000 0.000
Y 5.015 5.015 5.015

---

Entry 21:
9
Lattice="-0.005 -2.820 2.652 7.101 0.947 1.021 -4.789 3.721 3.947" Properties=species:S:1:pos:R:3 comment="YTm2Zn3Pt3 | OQMD | GGA-PBE | optimized geometry" spacegroup="No. 38" crystal_system=orthorhombic formation_enthalpy_0k_ev_per_fu=-8.838 pbc="T T T"
Pt 3.174 0.444 3.303
Pt -0.876 1.389 4.300
Pt 0.009 0.019 0.020
Tm -1.925 1.498 1.589
Tm 2.856 0.382 0.412
Zn -3.588 1.377 4.282
Zn 0.584 -0.225 2.587
Zn 5.314 -0.701 2.091
Y 1.374 2.775 2.953

---

Entry 22:
18
Lattice="2.656 5.800 -4.906 -5.969 -1.351 5.226 4.266 2.774 5.589" Properties=species:S:1:pos:R:3 comment="Tm2Zn3Pt4 | OQMD | GGA-PBE | optimized geometry" spacegroup="No. 64" crystal_system=orthorhombic formation_enthalpy_0k_ev_per_fu=-8.193 pbc="T T T"
Pt -2.436 1.219 6.076
Pt 0.968 3.659 7.377
Pt -0.259 1.394 2.061
Pt 2.868 3.605 3.688
Pt -1.915 3.618 2.221
Pt -0.015 3.564 -1.468
Pt 1.212 5.830 3.848
Pt 3.389 6.005 -0.167
Zn -1.737 0.168 3.798
Zn 2.133 1.387 2.795
Zn 4.347 4.831 1.951
Zn -1.656 2.224 0.160
Zn -3.394 2.392 3.958
Zn 2.690 7.055 2.111
Tm 1.048 4.152 1.354
Tm 5.602 7.547 1.304
Tm -0.095 3.071 4.555
Tm -4.649 -0.324 4.605

---

Entry 23:
3
Lattice="0.000 3.206 3.206 3.206 0.000 3.206 3.206 3.206 0.000" Properties=species:S:1:pos:R:3 comment="TmZnPt | OQMD | GGA-PBE | optimized geometry" spacegroup="No. 216" crystal_system=cubic formation_enthalpy_0k_ev_per_fu=-2.505 pbc="T T T"
Tm 1.603 1.603 1.603
Pt 0.000 0.000 0.000
Zn 4.810 4.810 4.810

---

Entry 24:
3
Lattice="2.908 -1.469 3.257 1.977 3.026 2.857 -1.247 0.136 4.433" Properties=species:S:1:pos:R:3 comment="TmZnPt | OQMD | GGA-PBE | optimized geometry" spacegroup="No. 216" crystal_system=cubic formation_enthalpy_0k_ev_per_fu=-1.027 pbc="T T T"
Pt 0.910 0.423 2.637
Tm 0.000 0.000 0.000
Zn 2.729 1.270 7.910

---

Entry 25:
8
Lattice="4.618 0.000 0.000 0.000 4.618 0.000 0.000 0.000 6.504" Properties=species:S:1:pos:R:3 comment="TmZrZn2Pt4 | OQMD | GGA-PBE | optimized geometry" spacegroup="No. 123" crystal_system=tetragonal formation_enthalpy_0k_ev_per_fu=-6.941 pbc="T T T"
Pt 0.000 2.309 4.941
Pt 2.309 0.000 1.563
Pt 2.309 0.000 4.941
Pt 0.000 2.309 1.563
Zn 2.309 2.309 3.252
Zn 0.000 0.000 0.000
Zr 2.309 2.309 0.000
Tm 0.000 0.000 3.252

---

Entry 26:
3
Lattice="0.195 -4.185 1.909 -3.774 -2.632 0.167 -0.308 -3.754 -2.647" Properties=species:S:1:pos:R:3 comment="TmZrPt | OQMD | GGA-PBE | optimized geometry" relative_energy_mev_per_atom=0 spacegroup="No. 216" crystal_system=cubic formation_enthalpy_0k_ev_per_fu=-0.206 pbc="T T T"
Tm -2.915 -7.928 -0.428
Zr 0.000 0.000 0.000
Pt -0.972 -2.643 -0.143

---

Entry 27:
2
Lattice="-3.871 0.494 2.165 -1.933 4.016 0.228 -3.748 0.805 -2.285" Properties=species:S:1:pos:R:3 comment="UPt | OQMD | GGA-PBE | optimized geometry" spacegroup="No. 216" crystal_system=cubic formation_enthalpy_0k_ev_per_fu=0.689 pbc="T T T"
Pt 0.000 0.000 0.000
U -2.388 1.329 0.027